Here is crystalline Pr3PbC at its relaxed geometry from Alexandria via LeMat-Bulk. Energies are from PBE.

Summary:
E above lowest polymorph, meV per atom: 1928
DFT formation energy, eV/atom: 1.56
Final energy, eV/atom: -3.8963
DOS(E_F), states/eV/f.u.: 3.3

Cell and atoms, written as CIF:
```
data_Pr3PbC
_chemical_formula_sum 'Pr3 Pb1 C1'
_cell_length_a 5.936
_cell_length_b 5.936
_cell_length_c 5.936
_cell_angle_alpha 90.00
_cell_angle_beta 90.00
_cell_angle_gamma 90.00
_space_group_name_H-M_alt 'P 1'
_space_group_IT_number 1
_space_group_name_Hall 'P 1'
loop_
_atom_site_label
_atom_site_fract_x
_atom_site_fract_y
_atom_site_fract_z
_atom_site_occupancy
Pr1 0.500 0.500 0.000 1
Pb1 0.500 0.500 0.500 1
Pr2 0.000 0.500 0.500 1
Pr3 0.500 0.000 0.500 1
C1 0.000 0.000 0.000 1
```

Here is crystalline Pr4SbPbC at its relaxed geometry from Alexandria via LeMat-Bulk. Energies are from PBE.

Summary:
Final energy, eV/atom: -5.7181
DOS(E_F), states/eV/f.u.: 3.9

Cell and atoms, written as CIF:
```
data_Pr4SbPbC
_chemical_formula_sum 'Pr8 Sb2 Pb2 C2'
_cell_length_a 7.169
_cell_length_b 7.168
_cell_length_c 9.032
_cell_angle_alpha 90.00
_cell_angle_beta 113.39
_cell_angle_gamma 90.00
_space_group_name_H-M_alt 'P 1'
_space_group_IT_number 1
_space_group_name_Hall 'P 1'
loop_
_atom_site_label
_atom_site_fract_x
_atom_site_fract_y
_atom_site_fract_z
_atom_site_occupancy
Pr1 0.090 0.750 0.181 1
C1 0.749 0.250 0.498 1
Sb1 0.389 0.250 0.778 1
Pr2 0.590 0.250 0.179 1
C2 0.251 0.750 0.502 1
Pr3 0.000 0.500 0.500 1
Pb1 0.892 0.750 0.783 1
Pr4 0.500 0.500 0.500 1
Pr5 0.500 0.000 0.500 1
Pr6 0.000 0.000 0.500 1
Pr7 0.910 0.250 0.819 1
Pb2 0.108 0.250 0.217 1
Sb2 0.611 0.750 0.222 1
Pr8 0.410 0.750 0.821 1
```

Here is crystalline PrSm2PbC at its relaxed geometry from Alexandria via LeMat-Bulk. Energies are from PBE.

Summary:
DFT formation energy, eV/atom: -0.42
Final energy, eV/atom: -5.8538
DOS(E_F), states/eV/f.u.: 2.6

Cell and atoms, written as CIF:
```
data_PrSm2PbC
_chemical_formula_sum 'Pr1 Sm2 Pb1 C1'
_cell_length_a 5.176
_cell_length_b 5.065
_cell_length_c 5.065
_cell_angle_alpha 90.00
_cell_angle_beta 90.00
_cell_angle_gamma 90.00
_space_group_name_H-M_alt 'P 1'
_space_group_IT_number 1
_space_group_name_Hall 'P 1'
loop_
_atom_site_label
_atom_site_fract_x
_atom_site_fract_y
_atom_site_fract_z
_atom_site_occupancy
C1 0.000 0.000 0.000 1
Sm1 0.000 0.500 0.000 1
Sm2 0.000 0.000 0.500 1
Pr1 0.500 0.000 0.000 1
Pb1 0.500 0.500 0.500 1
```

Here is crystalline Pr2SmPbC at its relaxed geometry from Alexandria via LeMat-Bulk. Energies are from PBE.

Summary:
DFT formation energy, eV/atom: -0.40
Final energy, eV/atom: -5.8375
DOS(E_F), states/eV/f.u.: 2.6

Cell and atoms, written as CIF:
```
data_Pr2SmPbC
_chemical_formula_sum 'Pr2 Sm1 Pb1 C1'
_cell_length_a 5.067
_cell_length_b 5.183
_cell_length_c 5.183
_cell_angle_alpha 90.00
_cell_angle_beta 90.00
_cell_angle_gamma 90.00
_space_group_name_H-M_alt 'P 1'
_space_group_IT_number 1
_space_group_name_Hall 'P 1'
loop_
_atom_site_label
_atom_site_fract_x
_atom_site_fract_y
_atom_site_fract_z
_atom_site_occupancy
Sm1 0.500 0.000 0.000 1
Pr1 0.000 0.500 0.000 1
Pr2 0.000 0.000 0.500 1
C1 0.000 0.000 0.000 1
Pb1 0.500 0.500 0.500 1
```

Here is crystalline Pr4SnPbC at its relaxed geometry from Alexandria via LeMat-Bulk. Energies are from PBE.

Summary:
DFT formation energy, eV/atom: -0.46
Final energy, eV/atom: -5.6056
DOS(E_F), states/eV/f.u.: 1.4

Cell and atoms, written as CIF:
```
data_Pr4SnPbC
_chemical_formula_sum 'Pr8 Sn2 Pb2 C2'
_cell_length_a 7.158
_cell_length_b 7.152
_cell_length_c 9.121
_cell_angle_alpha 90.00
_cell_angle_beta 113.10
_cell_angle_gamma 90.00
_space_group_name_H-M_alt 'P 1'
_space_group_IT_number 1
_space_group_name_Hall 'P 1'
loop_
_atom_site_label
_atom_site_fract_x
_atom_site_fract_y
_atom_site_fract_z
_atom_site_occupancy
C1 0.750 0.250 0.500 1
Pr1 0.000 0.500 0.500 1
Pr2 0.087 0.750 0.173 1
Pr3 0.913 0.250 0.827 1
Sn1 0.888 0.750 0.777 1
Pb1 0.609 0.750 0.219 1
Pr4 0.500 0.000 0.500 1
Sn2 0.112 0.250 0.223 1
Pr5 0.000 0.000 0.500 1
Pr6 0.589 0.250 0.177 1
Pr7 0.500 0.500 0.500 1
C2 0.250 0.750 0.500 1
Pr8 0.411 0.750 0.823 1
Pb2 0.391 0.250 0.781 1
```

Here is crystalline TbPr2PbC at its relaxed geometry from Alexandria via LeMat-Bulk. Energies are from PBE.

Summary:
DFT formation energy, eV/atom: -0.41
Final energy, eV/atom: -5.8367
DOS(E_F), states/eV/f.u.: 2.4

Cell and atoms, written as CIF:
```
data_TbPr2PbC
_chemical_formula_sum 'Tb1 Pr2 Pb1 C1'
_cell_length_a 4.964
_cell_length_b 5.186
_cell_length_c 5.186
_cell_angle_alpha 90.00
_cell_angle_beta 90.00
_cell_angle_gamma 90.00
_space_group_name_H-M_alt 'P 1'
_space_group_IT_number 1
_space_group_name_Hall 'P 1'
loop_
_atom_site_label
_atom_site_fract_x
_atom_site_fract_y
_atom_site_fract_z
_atom_site_occupancy
Tb1 0.500 0.000 0.000 1
C1 0.000 0.000 0.000 1
Pr1 0.000 0.000 0.500 1
Pb1 0.500 0.500 0.500 1
Pr2 0.000 0.500 0.000 1
```

> Among the records above, which one has the lowest final energy?

PrSm2PbC